Record 1
Compound: MnRe3Cl
Source: the Alexandria database
Functional: GGA-PBE
Structure: optimized geometry

## Properties
Theoretical density in g/cm3: 13.20
Energy above the most stable polymorph in this dataset in eV per atom: 0.000
Spin magnetization in μB per atom: 0.579
E in eV per formula unit: -40.08
Formation energy (no corrections) in meV per atom: 1656

Lattice parameters (Å, degrees): 4.3381 4.3381 4.3381 90.00 90.00 90.00
Last column: nearest neighbours and their distance in Å.
Sites, in units of the cell vectors:
Re: 0.0000 0.5000 0.0000  2 Cl 2.17
Re: 0.0000 0.0000 0.5000  2 Cl 2.17
Re: 0.5000 0.0000 0.0000  2 Cl 2.17
Mn: 0.5000 0.5000 0.5000  12 Re 3.07
Cl: 0.0000 0.0000 0.0000  6 Re 2.17


Record 2
Compound: Nd6AgBr8
Source: the Alexandria database
Functional: GGA-PBE
Structure: optimized geometry

## Properties
Theoretical density in g/cm3: 5.30
Spin magnetization in μB per atom: 0.000
E in eV per formula unit: -64.74
Formation energy (no corrections) in meV per atom: -1326

Lattice parameters (Å, degrees): 7.2607 7.2607 11.8411 72.15 72.15 60.00
Last column: nearest neighbours and their distance in Å.
Sites, in units of the cell vectors:
Nd: 0.9467 0.6207 0.1595  1 Ag 2.95, 5 Br 3.01-3.07
Nd: 0.7269 0.0533 0.8405  1 Ag 2.95, 5 Br 3.01-3.07
Nd: 0.3793 0.7269 0.8405  1 Ag 2.95, 5 Br 3.01-3.07
Nd: 0.6207 0.2731 0.1595  1 Ag 2.95, 5 Br 3.01-3.07
Nd: 0.2731 0.9467 0.1595  1 Ag 2.95, 5 Br 3.01-3.07
Nd: 0.0533 0.3793 0.8405  1 Ag 2.95, 5 Br 3.01-3.07
Ag: 0.0000 0.0000 0.0000  6 Nd 2.95
Br: 0.7749 0.4413 0.6759  3 Nd 3.01-3.07
Br: 0.8921 0.2251 0.3241  3 Nd 3.01-3.07
Br: 0.5587 0.8921 0.3241  3 Nd 3.01-3.07
Br: 0.3333 0.3333 0.0001  6 Nd 3.02
Br: 0.6667 0.6667 0.9999  6 Nd 3.02
Br: 0.4413 0.1079 0.6759  3 Nd 3.01-3.07
Br: 0.1079 0.7749 0.6759  3 Nd 3.01-3.07
Br: 0.2251 0.5587 0.3241  3 Nd 3.01-3.07


Record 3
Compound: LiRuRh2
Source: the Alexandria database
Functional: GGA-PBE
Structure: optimized geometry

## Properties
Theoretical density in g/cm3: 9.88
Energy above the most stable polymorph in this dataset in eV per atom: 0.099
Spin magnetization in μB per atom: 0.000
E in eV per formula unit: -25.55
Formation energy from the elements in kcal/mol of atoms: 1.99

Lattice parameters (Å, degrees): 4.9825 4.9825 4.9825 146.63 128.41 62.84
Last column: nearest neighbours and their distance in Å.
Sites, in units of the cell vectors:
Li: 0.2482 0.7482 0.5000  6 Rh 2.41-2.60, 2 Ru 2.47
Rh: 0.0198 0.0198 0.0000  2 Li 2.41, 4 Ru 2.61
Rh: 0.7470 0.2470 0.5000  4 Li 2.60, 2 Ru 2.65, 6 Rh 2.73-2.90
Ru: 0.4850 0.4850 0.0000  2 Li 2.47, 6 Rh 2.61-2.65


Record 4
Compound: SiB2Cl
Source: the Alexandria database
Functional: GGA-PBE
Structure: optimized geometry

## Properties
Theoretical density in g/cm3: 1.82
Energy above the most stable polymorph in this dataset in eV per atom: 0.000
Spin magnetization in μB per atom: 0.000
E in eV per formula unit: -20.20
Formation energy (no corrections) in meV per atom: 106

Lattice parameters (Å, degrees): 3.0264 3.8451 6.7308 86.26 85.28 89.99
Last column: nearest neighbours and their distance in Å.
Sites, in units of the cell vectors:
Si: 0.7220 0.7843 0.6390  4 B 2.03-2.08, 1 Cl 2.06
B: 0.2389 0.1290 0.5458  2 B 1.65
B: 0.7412 0.3014 0.5325  2 B 1.65
Cl: 0.6662 0.7100 0.9462  1 Si 2.06


Record 5
Compound: ScAuO3
Source: the Alexandria database
Functional: GGA-PBE
Structure: optimized geometry

## Properties
Theoretical density in g/cm3: 7.21
Spin magnetization in μB per atom: 0.400
E in eV per formula unit: -29.69
Formation energy (no corrections) in meV per atom: -1041

Lattice parameters (Å, degrees): 4.0576 4.0576 4.0576 90.00 90.00 90.00
Last column: nearest neighbours and their distance in Å.
Sites, in units of the cell vectors:
Sc: 0.0000 0.0000 0.0000  6 O 2.03
Au: 0.5000 0.5000 0.5000  12 O 2.87
O: 0.0000 0.5000 0.0000  2 Sc 2.03
O: 0.0000 0.0000 0.5000  2 Sc 2.03
O: 0.5000 0.0000 0.0000  2 Sc 2.03


Record 6
Compound: Tb2PtRh
Source: the Alexandria database
Functional: GGA-PBE
Structure: optimized geometry

## Properties
Theoretical density in g/cm3: 12.20
Spin magnetization in μB per atom: 0.000
E in eV per formula unit: -26.80
Formation energy from the elements in kcal/mol of atoms: -23.88

Lattice parameters (Å, degrees): 3.4690 3.4690 6.9669 90.00 90.00 90.00
Last column: nearest neighbours and their distance in Å.
Sites, in units of the cell vectors:
Rh: 0.5000 0.5000 0.0000  8 Tb 2.99
Tb: 0.0000 0.0000 0.7553  4 Rh 2.99, 4 Pt 3.03
Tb: 0.0000 0.0000 0.2447  4 Rh 2.99, 4 Pt 3.03
Pt: 0.5000 0.5000 0.5000  8 Tb 3.03


Record 7
Compound: Cd9Hg2Pb3
Source: the Alexandria database
Functional: GGA-PBE
Structure: optimized geometry

## Properties
Theoretical density in g/cm3: 9.39
Spin magnetization in μB per atom: 0.000
E in eV per formula unit: -19.33
Formation energy from the elements in kcal/mol of atoms: 1.04

Lattice parameters (Å, degrees): 3.6014 10.1588 10.1588 90.24 79.79 79.79
Last column: nearest neighbours and their distance in Å.
Sites, in units of the cell vectors:
Cd: 0.0000 0.5000 0.5000  4 Hg 2.98
Cd: 0.6131 0.0383 0.7356  4 Cd 2.96-3.14, 1 Hg 3.08, 2 Pb 3.23
Cd: 0.3869 0.9617 0.2644  4 Cd 2.96-3.14, 1 Hg 3.08, 2 Pb 3.23
Cd: 0.6131 0.7356 0.0383  4 Cd 2.96-3.14, 1 Hg 3.08, 2 Pb 3.23
Cd: 0.3869 0.2644 0.9617  4 Cd 2.96-3.14, 1 Hg 3.08, 2 Pb 3.23
Cd: 0.8231 0.8621 0.4917  5 Cd 2.96-3.29, 2 Hg 3.06
Cd: 0.1769 0.1379 0.5083  5 Cd 2.96-3.29, 2 Hg 3.06
Cd: 0.8231 0.4917 0.8621  5 Cd 2.96-3.29, 2 Hg 3.06
Cd: 0.1769 0.5083 0.1379  5 Cd 2.96-3.29, 2 Hg 3.06
Hg: 0.5000 0.3353 0.6647  8 Cd 2.98-3.08
Hg: 0.5000 0.6647 0.3353  8 Cd 2.98-3.08
Pb: 0.0000 0.0000 0.0000  8 Cd 3.23, 4 Pb 3.60
Pb: 0.7409 0.2591 0.2591  8 Cd 3.34-3.48, 3 Pb 3.60
Pb: 0.2591 0.7409 0.7409  8 Cd 3.34-3.48, 3 Pb 3.60


Record 8
Compound: Cu3SbH
Source: the Alexandria database
Functional: GGA-PBE
Structure: optimized geometry

## Properties
Theoretical density in g/cm3: 8.24
Energy above the most stable polymorph in this dataset in eV per atom: 0.000
Spin magnetization in μB per atom: 0.000
E in eV per formula unit: -18.73

Lattice parameters (Å, degrees): 3.9820 3.9820 3.9820 90.00 90.00 90.00
Last column: nearest neighbours and their distance in Å.
Sites, in units of the cell vectors:
Sb: 0.5000 0.5000 0.5000  12 Cu 2.82
Cu: 0.0000 0.5000 0.0000  2 H 1.99
Cu: 0.0000 0.0000 0.5000  2 H 1.99
Cu: 0.5000 0.0000 0.0000  2 H 1.99
H: 0.0000 0.0000 0.0000  6 Cu 1.99


Record 9
Compound: Tb5ErTm7
Source: the Alexandria database
Functional: GGA-PBE
Structure: optimized geometry

## Properties
Theoretical density in g/cm3: 8.60
Spin magnetization in μB per atom: 0.000
E in eV per formula unit: -55.58
Formation energy from the elements in kcal/mol of atoms: 6.09

Lattice parameters (Å, degrees): 6.6344 8.5710 8.5710 79.24 67.23 67.23
Last column: nearest neighbours and their distance in Å.
Sites, in units of the cell vectors:
Tb: 0.5396 0.0049 0.4569  2 Tb 3.05-3.36, 2 Tm 3.05-3.41
Tb: 0.9986 0.0049 0.4569  2 Tb 3.05-3.36, 2 Tm 3.05-3.41
Tb: 0.5396 0.4569 0.0049  2 Tb 3.05-3.36, 2 Tm 3.05-3.41
Tb: 0.9986 0.4569 0.0049  2 Tb 3.05-3.36, 2 Tm 3.05-3.41
Tb: 0.7680 0.7320 0.7320  6 Tm 3.32-3.42, 4 Tb 3.36
Er: 0.9641 0.0359 0.0359  7 Tm 3.50-3.85, 4 Tb 3.66
Tm: 0.5765 0.4235 0.4235  7 Tm 3.49-3.85, 4 Tb 3.64
Tm: 0.2709 0.7291 0.7291  6 Tb 3.32-3.49, 1 Tm 3.49, 1 Er 3.50
Tm: 0.0204 0.3108 0.6484  4 Tm 3.38-3.76, 5 Tb 3.42-3.45, 1 Er 3.68
Tm: 0.0204 0.6484 0.3108  4 Tm 3.38-3.76, 5 Tb 3.42-3.45, 1 Er 3.68
Tm: 0.2689 0.2311 0.2311  4 Tb 3.05, 4 Tm 3.38-3.39
Tm: 0.5172 0.8130 0.1525  5 Tm 3.39-3.76, 5 Tb 3.41-3.45
Tm: 0.5172 0.1525 0.8130  5 Tm 3.39-3.76, 5 Tb 3.41-3.45


Record 10
Compound: KMgH3
Source: the Alexandria database
Functional: GGA-PBE
Structure: optimized geometry

## Properties
Theoretical density in g/cm3: 1.38
Spin magnetization in μB per atom: 0.000
E in eV per formula unit: -13.31

Lattice parameters (Å, degrees): 3.0451 7.0774 7.5942 91.17 101.57 90.00
Last column: nearest neighbours and their distance in Å.
Sites, in units of the cell vectors:
K: 0.8635 0.1317 0.7269  5 H 2.55-2.61
K: 0.1365 0.8683 0.2731  5 H 2.55-2.61
Mg: 0.6102 0.3301 0.2205  3 H 1.82-1.98
Mg: 0.3898 0.6699 0.7795  3 H 1.82-1.98
H: 0.0350 0.2181 0.0700  2 Mg 2.04
H: 0.9650 0.7819 0.9300  2 Mg 2.04
H: 0.3080 0.8567 0.6160  1 Mg 1.82
H: 0.6920 0.1433 0.3840  1 Mg 1.82
H: 0.1376 0.5007 0.2751  2 Mg 1.98
H: 0.8624 0.4993 0.7249  2 Mg 1.98


Record 11
Compound: AcGeF
Source: the Alexandria database
Functional: GGA-PBE
Structure: optimized geometry

## Properties
Theoretical density in g/cm3: 8.01
Energy above the most stable polymorph in this dataset in eV per atom: 0.000
Spin magnetization in μB per atom: 0.000
E in eV per formula unit: -17.38
Formation energy (no corrections) in meV per atom: -2261

Lattice parameters (Å, degrees): 4.1690 4.3825 7.5537 106.86 90.00 90.00
Last column: nearest neighbours and their distance in Å.
Sites, in units of the cell vectors:
Ac: 0.2499 0.6365 0.2730  4 F 2.69-2.70
Ac: 0.7501 0.3635 0.7270  4 F 2.69-2.70
Ge: 0.2500 0.9488 0.8975  2 Ge 2.56
Ge: 0.7500 0.0512 0.1025  2 Ge 2.56
F: 0.2500 0.2449 0.4899  4 Ac 2.69-2.70
F: 0.7500 0.7551 0.5101  4 Ac 2.69-2.70


Record 12
Compound: BaAl4Zn4
Source: the Alexandria database
Functional: GGA-PBE
Structure: optimized geometry

## Properties
Theoretical density in g/cm3: 4.45
Spin magnetization in μB per atom: 0.000
E in eV per formula unit: -22.53
Formation energy from the elements in kcal/mol of atoms: -1.38

Lattice parameters (Å, degrees): 4.8029 8.8794 8.8794 90.00 90.00 90.00
Last column: nearest neighbours and their distance in Å.
Sites, in units of the cell vectors:
Ba: 0.0000 0.0000 0.0000  12 Zn 3.56-3.75, 4 Al 3.66
Ba: 0.5000 0.5000 0.5000  12 Zn 3.56-3.75, 4 Al 3.66
Al: 0.4979 0.3933 0.8978  4 Zn 2.56-2.68, 1 Al 2.62
Al: 0.9979 0.6022 0.8933  4 Zn 2.56-2.68, 1 Al 2.62
Al: 0.4979 0.6067 0.1022  4 Zn 2.56-2.68, 1 Al 2.62
Al: 0.0021 0.1067 0.6022  4 Zn 2.56-2.68, 1 Al 2.62
Al: 0.5021 0.8978 0.6067  4 Zn 2.56-2.68, 1 Al 2.62
Al: 0.0021 0.8933 0.3978  4 Zn 2.56-2.68, 1 Al 2.62
Al: 0.9979 0.3978 0.1067  4 Zn 2.56-2.68, 1 Al 2.62
Al: 0.5021 0.1022 0.3933  4 Zn 2.56-2.68, 1 Al 2.62
Zn: 0.5019 0.8346 0.2784  4 Al 2.56-2.68, 1 Zn 2.86
Zn: 0.5019 0.1654 0.7216  4 Al 2.56-2.68, 1 Zn 2.86
Zn: 0.0019 0.7784 0.6654  4 Al 2.56-2.68, 1 Zn 2.86
Zn: 0.9981 0.3346 0.7784  4 Al 2.56-2.68, 1 Zn 2.86
Zn: 0.9981 0.6654 0.2216  4 Al 2.56-2.68, 1 Zn 2.86
Zn: 0.4981 0.2784 0.1654  4 Al 2.56-2.68, 1 Zn 2.86
Zn: 0.4981 0.7216 0.8346  4 Al 2.56-2.68, 1 Zn 2.86
Zn: 0.0019 0.2216 0.3346  4 Al 2.56-2.68, 1 Zn 2.86


Q: Number 6 is which compound?
A: Tb2PtRh


Q: The highest E belongs to which entry?
A: KMgH3


Q: Look up the E of the second one.
A: -64.74 eV per formula unit


Q: Among the records above, which one has the highest E?
A: KMgH3